DFT (PBE) results for crystalline ZrTaTcMo at its relaxed geometry.

Values from the calculation:
Energy relative to the elements = -0.2378 eV/atom
M_tot = 0.0 μB/f.u.
V = 17.33 A^3/atom

Cell: 4.6112 4.6112 4.6112 Å, 60.00 60.00 60.00°
Atoms (fractional coordinates):
Mo 0.2500 0.2500 0.2500
Tc 0.7500 0.7500 0.7500
Zr 0.5000 0.5000 0.5000
Ta 0.0000 0.0000 0.0000


DFT (PBE) results for crystalline MnCoPt2 at its relaxed geometry.

Values from the calculation:
Energy relative to the elements = -0.1443 eV/atom
M_tot = 6.3 μB/f.u.
V = 14.30 A^3/atom

Cell: 2.7588 3.7820 5.4836 Å, 90.00 90.00 90.00°
Each line ends with the local moment (μB).
Atoms (fractional coordinates):
Co 0.0000 0.0000 0.4874  1.88
Mn 0.5000 0.5000 0.7516  3.61
Pt 0.0000 0.0000 0.9831  0.27
Pt 0.5000 0.5000 0.2779  0.43


DFT (PBE) results for crystalline Ba2ReW at its relaxed geometry.

Values from the calculation:
Energy relative to the elements = 0.8616 eV/atom
M_tot = 0.0 μB/f.u.
V = 31.19 A^3/atom

Cell: 6.7648 6.7648 6.7648 Å, 147.81 130.25 60.51°
Atoms (fractional coordinates):
Re 0.4436 0.4436 0.0000
Ba 0.0117 0.0117 0.0000
Ba 0.7302 0.2302 0.5000
W 0.3145 0.8145 0.5000


DFT (PBE) results for crystalline Hf2AlCdH at its relaxed geometry.

Values from the calculation:
M_tot = 0.0 μB/f.u.
Uncorrected energy = -28.54 eV for the cell shown
V = 16.41 A^3/atom

Cell: 4.2621 4.2621 4.5179 Å, 90.00 90.00 90.00°
Atoms (fractional coordinates):
H 0.0000 0.0000 0.0000
Hf 0.0000 0.5000 0.0000
Hf 0.5000 0.0000 0.0000
Al 0.5000 0.5000 0.5000
Cd 0.0000 0.0000 0.5000


Please write out number 1 again, unchanged.
DFT (PBE) results for crystalline ZrTaTcMo at its relaxed geometry.

Values from the calculation:
Energy relative to the elements = -0.2378 eV/atom
M_tot = 0.0 μB/f.u.
V = 17.33 A^3/atom

Cell: 4.6112 4.6112 4.6112 Å, 60.00 60.00 60.00°
Atoms (fractional coordinates):
Mo 0.2500 0.2500 0.2500
Tc 0.7500 0.7500 0.7500
Zr 0.5000 0.5000 0.5000
Ta 0.0000 0.0000 0.0000


Question: V of number 1 (ZrTaTcMo)?
Answer: 17.33 A^3/atom


Question: The highest M_tot belongs to which entry?
Answer: MnCoPt2